Model 1:
First-principles (PBE) data for crystalline CaHf2Co2 at its relaxed geometry, as listed in Alexandria via LeMat-Bulk.

The value obtained for the spin magnetization is 0.00 μB per cell. The value obtained for the density of states at the Fermi level is 4.8 states/eV/f.u. As for the crystal system: tetragonal.

The space group is I4/mmm (No. 139) and the conventional cell measures 4.1010, 4.1010 and 12.4873 Å, with angles of 90.00, 90.00 and 90.00 degrees. Symmetry generates all atoms from Ca at (0.0000, 0.0000, 0.0000), Hf at (0.0000, 0.0000, 0.3612) and Co at (0.0000, 0.5000, 0.2500).

***

Model 2:
First-principles (PBE) data for crystalline CaHf2Co2 at its relaxed geometry, as listed in Alexandria via LeMat-Bulk.

The value obtained for the spin magnetization is 0.00 μB per cell. The value obtained for the density of states at the Fermi level is 4.1 states/eV/f.u. As for the crystal system: tetragonal.

The space group is P4/mbm (No. 127) and the conventional cell measures 7.8040, 7.8040 and 2.9700 Å, with angles of 90.00, 90.00 and 90.00 degrees. Symmetry generates all atoms from Ca at (0.0000, 0.0000, 0.0000), Hf at (0.1416, 0.3584, 0.0000) and Co at (0.1439, 0.6439, 0.5000).

***

Short version: model 2, model 1, most stable first.

***

Model 1:
First-principles (PBE) data for crystalline CaCo2Hg2 at its relaxed geometry, as listed in Alexandria via LeMat-Bulk.

The value obtained for the spin magnetization is 5.15 μB per cell. The value obtained for the density of states at the Fermi level is 5.4 states/eV/f.u. As for the crystal system: tetragonal.

The space group is P4/mbm (No. 127) and the conventional cell measures 7.4667, 7.4667 and 3.3383 Å, with angles of 90.00, 90.00 and 90.00 degrees. Symmetry generates all atoms from Ca at (0.0000, 0.0000, 0.0000), Co at (0.1083, 0.3917, 0.0000) and Hg at (0.1806, 0.6806, 0.5000).

***

Model 2:
First-principles (PBE) data for crystalline CaCo2Hg2 at its relaxed geometry, as listed in Alexandria via LeMat-Bulk.

The value obtained for the spin magnetization is 5.30 μB per cell. The value obtained for the density of states at the Fermi level is 6.4 states/eV/f.u. As for the crystal system: tetragonal.

The space group is I4/mmm (No. 139) and the conventional cell measures 4.4706, 4.4706 and 10.2152 Å, with angles of 90.00, 90.00 and 90.00 degrees. Symmetry generates all atoms from Ca at (0.0000, 0.0000, 0.0000), Co at (0.0000, 0.0000, 0.3967) and Hg at (0.0000, 0.5000, 0.2500).

***

Short version: model 2, model 1, most stable first.

***

Model 1:
First-principles (PBE) data for crystalline CaCo2HgIr at its relaxed geometry, as listed in Alexandria via LeMat-Bulk.

The value obtained for the spin magnetization is 3.68 μB per cell. The value obtained for the density of states at the Fermi level is 8.0 states/eV/f.u. As for the crystal system: tetragonal.

The space group is P4/mmm (No. 123) and the conventional cell measures 4.7743, 4.7743 and 5.1242 Å, with angles of 90.00, 90.00 and 90.00 degrees. Symmetry generates all atoms from Ca at (0.0000, 0.0000, 0.0000), Co at (0.0000, 0.5000, 0.5000), Hg at (0.5000, 0.5000, 0.5000) and Ir at (0.5000, 0.5000, 0.0000).

***

Model 2:
First-principles (PBE) data for crystalline CaCo2HgIr at its relaxed geometry, as listed in Alexandria via LeMat-Bulk.

The value obtained for the spin magnetization is 2.92 μB per cell. The value obtained for the density of states at the Fermi level is 7.9 states/eV/f.u. As for the crystal system: tetragonal.

The space group is P4/mmm (No. 123) and the conventional cell measures 4.5060, 4.5060 and 4.9304 Å, with angles of 90.00, 90.00 and 90.00 degrees. Symmetry generates all atoms from Ca at (0.0000, 0.0000, 0.0000), Co at (0.0000, 0.5000, 0.0000), Hg at (0.5000, 0.5000, 0.5000) and Ir at (0.0000, 0.0000, 0.5000).

***

Short version: model 1, model 2, most stable first.

***

Model 1:
First-principles (PBE) data for crystalline CaLa2CoHg at its relaxed geometry, as listed in Alexandria via LeMat-Bulk.

The value obtained for the spin magnetization is 0.00 μB per cell. The value obtained for the density of states at the Fermi level is 5.0 states/eV/f.u. As for the crystal system: tetragonal.

The space group is P4/mmm (No. 123) and the conventional cell measures 5.1860, 5.1860 and 5.6392 Å, with angles of 90.00, 90.00 and 90.00 degrees. Symmetry generates all atoms from Ca at (0.0000, 0.0000, 0.0000), La at (0.0000, 0.5000, 0.5000), Co at (0.0000, 0.0000, 0.5000) and Hg at (0.5000, 0.5000, 0.0000).

***

Model 2:
First-principles (PBE) data for crystalline CaLa2CoHg at its relaxed geometry, as listed in Alexandria via LeMat-Bulk.

The value obtained for the spin magnetization is 0.00 μB per cell. The value obtained for the density of states at the Fermi level is 4.4 states/eV/f.u. As for the crystal system: tetragonal.

The space group is P4/mmm (No. 123) and the conventional cell measures 5.2719, 5.2719 and 5.3173 Å, with angles of 90.00, 90.00 and 90.00 degrees. Symmetry generates all atoms from Ca at (0.0000, 0.0000, 0.0000), La at (0.0000, 0.5000, 0.5000), Co at (0.5000, 0.5000, 0.5000) and Hg at (0.5000, 0.5000, 0.0000).

***

Short version: model 1, model 2, most stable first.

***

Model 1:
First-principles (PBE) data for crystalline CaHo2Co at its relaxed geometry, as listed in Alexandria via LeMat-Bulk.

The value obtained for the spin magnetization is 0.53 μB per cell. The value obtained for the density of states at the Fermi level is 3.5 states/eV/f.u. As for the crystal system: tetragonal.

The space group is P4/mmm (No. 123) and the conventional cell measures 3.3943, 3.3943 and 9.4047 Å, with angles of 90.00, 90.00 and 90.00 degrees. Symmetry generates all atoms from Ca at (0.0000, 0.0000, 0.0000), Ho at (0.5000, 0.5000, 0.3307) and Co at (0.0000, 0.0000, 0.5000).

***

Model 2:
First-principles (PBE) data for crystalline CaHo2Co at its relaxed geometry, as listed in Alexandria via LeMat-Bulk.

The value obtained for the spin magnetization is 0.00 μB per cell. The value obtained for the density of states at the Fermi level is 4.2 states/eV/f.u. As for the crystal system: monoclinic.

The space group is C2/m (No. 12) and the conventional cell measures 13.4319, 3.6776 and 8.9577 Å, with angles of 90.00, 91.24 and 90.00 degrees. Symmetry generates all atoms from Ca at (0.1296, 0.0000, 0.4687), Ho at (0.0343, 0.5000, 0.8263), Ho at (0.2315, 0.5000, 0.1514) and Co at (0.0999, 0.0000, 0.0346).

***

Short version: model 2, model 1, most stable first.

***

Model 1:
First-principles (PBE) data for crystalline CaHo2Co at its relaxed geometry, as listed in Alexandria via LeMat-Bulk.

The value obtained for the spin magnetization is 0.00 μB per cell. The value obtained for the density of states at the Fermi level is 4.2 states/eV/f.u. As for the crystal system: trigonal.

The space group is R-3m (No. 166, hexagonal axes) and the conventional cell measures 3.7794, 3.7794 and 31.0138 Å, with angles of 90.00, 90.00 and 120.00 degrees. Symmetry generates all atoms from Ca at (0.0000, 0.0000, 0.0000), Ho at (0.0000, 0.0000, 0.1196) and Co at (0.0000, 0.0000, 0.5000).

***

Model 2:
First-principles (PBE) data for crystalline CaHo2Co at its relaxed geometry, as listed in Alexandria via LeMat-Bulk.

The value obtained for the spin magnetization is 0.00 μB per cell. The value obtained for the density of states at the Fermi level is 4.2 states/eV/f.u. As for the crystal system: trigonal.

The space group is R3m (No. 160, hexagonal axes) and the conventional cell measures 3.8814, 3.8814 and 27.4044 Å, with angles of 90.00, 90.00 and 120.00 degrees. Symmetry generates all atoms from Ca at (0.0000, 0.0000, 0.0000), Ho at (0.0000, 0.0000, 0.5497), Ho at (0.0000, 0.0000, 0.7803) and Co at (0.0000, 0.0000, 0.1650).

***

Short version: model 2, model 1, most stable first.